Below is crystalline Ho2TlPt at its relaxed geometry, with properties calculated at the GGA-PBE level.

Lattice parameters (Å, degrees): 7.2523 7.2523 7.2523 90.00 90.00 90.00
Last column: nearest neighbours and their distance in Å.
Space group Fm-3m (No. 225)
Symmetry-distinct sites (fractional):
Ho1 0.2500 0.2500 0.2500 (multiplicity 8)  4 Tl 3.14, 4 Pt 3.14
Tl1 0.0000 0.0000 0.0000 (multiplicity 4)  8 Ho 3.14
Pt1 0.0000 0.0000 0.5000 (multiplicity 4)  8 Ho 3.14

Calculated values
Polymorph energy (0 for the lowest one) ... 0.098 eV per atom
ΔH_f (0 K) ... -704 meV per atom
M_tot ... 0.000 μB/cell
Volume ... 23.84 Å³/atom